No. 1
Compound: LaMgMn2
Source: Alexandria via LeMat-Bulk
Functional: GGA-PBE
Structure: optimized geometry

Summary:
As for the total magnetic moment: 6.569 μB/f.u. The formation energy comes out at 33.2 kJ per mole of atoms.

Cell lengths 3.362, 4.612, 5.866 Å; angles 90.00, 106.59, 90.00 degrees
Space group Pm (No. 6)
Unique sites:
La  0.000  0.000  0.000 (multiplicity 1)
Mg  0.692  0.500  0.381 (multiplicity 1)
Mn  0.273  0.000  0.542 (multiplicity 1)
Mn  0.396  0.500  0.792 (multiplicity 1)

---

No. 2
Compound: LaMg6Mn
Source: Alexandria via LeMat-Bulk
Functional: GGA-PBE
Structure: optimized geometry

Summary:
As for the total magnetic moment: 3.899 μB/f.u. The formation energy comes out at 11.4 kJ per mole of atoms. For the offset from the most stable computed form, the calculation gives 0.0 meV/atom.

Cell lengths 5.015, 6.116, 12.798 Å; angles 90.00, 90.00, 90.00 degrees
Space group Amm2 (No. 38)
Unique sites:
La  0.000  0.000  0.000 (multiplicity 2)
Mg  0.000  0.244  0.741 (multiplicity 4)
Mg  0.500  0.000  0.165 (multiplicity 2)
Mg  0.500  0.000  0.594 (multiplicity 2)
Mg  0.500  0.248  0.379 (multiplicity 4)
Mn  0.000  0.000  0.434 (multiplicity 2)

---

No. 3
Compound: LaMgMn2
Source: Alexandria via LeMat-Bulk
Functional: GGA-PBE
Structure: optimized geometry

Summary:
As for the total magnetic moment: 6.602 μB/f.u. The formation energy comes out at 41.9 kJ per mole of atoms.

Cell lengths 9.174, 3.183, 6.187 Å; angles 90.00, 100.36, 90.00 degrees
Space group C2/m (No. 12)
Unique sites:
La  0.000  0.000  0.000 (multiplicity 2)
Mg  0.000  0.500  0.500 (multiplicity 2)
Mn  0.244  0.000  0.676 (multiplicity 4)

---

No. 4
Compound: LaMgMn2
Source: Alexandria via LeMat-Bulk
Functional: GGA-PBE
Structure: optimized geometry

Summary:
As for the total magnetic moment: 6.546 μB/f.u. The formation energy comes out at 62.0 kJ per mole of atoms.

Cell lengths 7.725, 7.725, 6.119 Å; angles 90.00, 90.00, 90.00 degrees
Space group I-42d (No. 122)
Unique sites:
La  0.000  0.000  0.000 (multiplicity 4)
Mg  0.000  0.000  0.500 (multiplicity 4)
Mn  0.228  0.750  0.625 (multiplicity 8)

---

No. 5
Compound: LaMg2MnN4
Source: Alexandria via LeMat-Bulk
Functional: GGA-PBE
Structure: optimized geometry

Summary:
As for the total magnetic moment: 2.000 μB/f.u. For the uncorrected formation energy, the calculation gives -17.41 kcal/mol of atoms.

Cell lengths 7.067, 5.832, 5.459 Å; angles 90.00, 90.00, 90.00 degrees
Space group Pmn2_1 (No. 31)
Unique sites:
La  0.000  0.141  0.000 (multiplicity 2)
Mg  0.244  0.343  0.512 (multiplicity 4)
Mn  0.000  0.808  0.519 (multiplicity 2)
N  0.000  0.120  0.475 (multiplicity 2)
N  0.000  0.761  0.844 (multiplicity 2)
N  0.206  0.678  0.391 (multiplicity 4)

---

No. 6
Compound: LaNdMgMn
Source: Alexandria via LeMat-Bulk
Functional: GGA-PBE
Structure: optimized geometry

Summary:
As for the total magnetic moment: 3.321 μB/f.u. The formation energy comes out at 12.1 kJ per mole of atoms.

Cell lengths 7.640, 7.640, 7.640 Å; angles 90.00, 90.00, 90.00 degrees
Space group F-43m (No. 216)
Unique sites:
La  0.000  0.000  0.000 (multiplicity 4)
Nd  0.000  0.000  0.500 (multiplicity 4)
Mg  0.250  0.250  0.250 (multiplicity 4)
Mn  0.250  0.250  0.750 (multiplicity 4)

---

No. 7
Compound: LaMgMn2Ni
Source: Alexandria via LeMat-Bulk
Functional: GGA-PBE
Structure: optimized geometry

Summary:
As for the total magnetic moment: 0.184 μB/f.u. The formation energy comes out at 96.4 kJ per mole of atoms.

Cell lengths 4.523, 4.523, 5.040 Å; angles 90.00, 90.00, 90.00 degrees
Space group P4/mmm (No. 123)
Unique sites:
La  0.000  0.000  0.000 (multiplicity 1)
Mg  0.500  0.500  0.000 (multiplicity 1)
Mn  0.000  0.500  0.500 (multiplicity 2)
Ni  0.000  0.000  0.500 (multiplicity 1)

---

No. 8
Compound: LaPmMgMn
Source: Alexandria via LeMat-Bulk
Functional: GGA-PBE
Structure: optimized geometry

Summary:
As for the total magnetic moment: 3.289 μB/f.u. The formation energy comes out at 11.8 kJ per mole of atoms.

Cell lengths 7.613, 7.613, 7.613 Å; angles 90.00, 90.00, 90.00 degrees
Space group F-43m (No. 216)
Unique sites:
La  0.000  0.000  0.000 (multiplicity 4)
Pm  0.000  0.000  0.500 (multiplicity 4)
Mg  0.250  0.250  0.250 (multiplicity 4)
Mn  0.250  0.250  0.750 (multiplicity 4)

---

No. 9
Compound: LaPrMgMn
Source: Alexandria via LeMat-Bulk
Functional: GGA-PBE
Structure: optimized geometry

Summary:
As for the total magnetic moment: 3.354 μB/f.u. The formation energy comes out at 12.4 kJ per mole of atoms.

Cell lengths 7.670, 7.670, 7.670 Å; angles 90.00, 90.00, 90.00 degrees
Space group F-43m (No. 216)
Unique sites:
La  0.000  0.000  0.000 (multiplicity 4)
Pr  0.000  0.000  0.500 (multiplicity 4)
Mg  0.250  0.250  0.250 (multiplicity 4)
Mn  0.250  0.250  0.750 (multiplicity 4)

---

No. 10
Compound: La2MgMnPt
Source: Alexandria via LeMat-Bulk
Functional: GGA-PBE
Structure: optimized geometry

Summary:
As for the total magnetic moment: 0.000 μB/f.u. The formation energy comes out at 2.5 kJ per mole of atoms.

Cell lengths 5.043, 5.043, 4.872 Å; angles 90.00, 90.00, 90.00 degrees
Space group P4/mmm (No. 123)
Unique sites:
La  0.000  0.500  0.000 (multiplicity 2)
Mg  0.000  0.000  0.500 (multiplicity 1)
Mn  0.000  0.000  0.000 (multiplicity 1)
Pt  0.500  0.500  0.500 (multiplicity 1)

---

No. 11
Compound: La3Mg2MnS8
Source: Alexandria via LeMat-Bulk
Functional: GGA-PBE
Structure: optimized geometry

Summary:
As for the total magnetic moment: 3.980 μB/f.u. For the offset from the most stable computed form, the calculation gives 0.0 meV/atom. For the uncorrected formation energy, the calculation gives -36.62 kcal/mol of atoms.

Cell lengths 7.152, 7.177, 7.618 Å; angles 68.95, 71.29, 77.07 degrees
Space group P1 (No. 1)
Unique sites:
La  0.000  0.000  0.000 (multiplicity 1)
La  0.054  0.566  0.556 (multiplicity 1)
La  0.479  0.517  0.004 (multiplicity 1)
Mg  0.457  0.972  0.352 (multiplicity 1)
Mg  0.639  0.067  0.660 (multiplicity 1)
Mn  0.952  0.470  0.134 (multiplicity 1)
S  0.178  0.305  0.325 (multiplicity 1)
S  0.200  0.352  0.895 (multiplicity 1)
S  0.297  0.809  0.219 (multiplicity 1)
S  0.362  0.888  0.709 (multiplicity 1)
S  0.713  0.213  0.282 (multiplicity 1)
S  0.753  0.286  0.771 (multiplicity 1)
S  0.790  0.695  0.315 (multiplicity 1)
S  0.830  0.737  0.866 (multiplicity 1)

---

No. 12
Compound: La3Mg2MnS8
Source: Alexandria via LeMat-Bulk
Functional: GGA-PBE
Structure: optimized geometry

Summary:
As for the total magnetic moment: 4.000 μB/f.u. For the offset from the most stable computed form, the calculation gives 75.7 meV/atom. For the uncorrected formation energy, the calculation gives -34.88 kcal/mol of atoms.

Cell lengths 8.1176, 8.1176, 19.1987 Å; angles 90.00, 90.00, 120.00 degrees
Space group R-3m (No. 166, hexagonal axes)
Unique sites:
La  0.0000  0.5000  0.0000 (multiplicity 9)
Mg  0.0000  0.0000  0.1255 (multiplicity 6)
Mn  0.0000  0.0000  0.5000 (multiplicity 3)
S  0.0000  0.0000  0.2518 (multiplicity 6)
S  0.0231  0.5115  0.2408 (multiplicity 18)

---

No. 13
Compound: LaMgMnS4
Source: Alexandria via LeMat-Bulk
Functional: GGA-PBE
Structure: optimized geometry

Summary:
As for the total magnetic moment: 4.000 μB/f.u. For the uncorrected formation energy, the calculation gives -28.25 kcal/mol of atoms.

Cell lengths 7.740, 8.034, 10.696 Å; angles 90.00, 90.00, 90.00 degrees
Space group Imma (No. 74)
Unique sites:
La  0.000  0.000  0.000 (multiplicity 4)
Mg  0.000  0.250  0.379 (multiplicity 4)
Mn  0.250  0.250  0.750 (multiplicity 4)
S  0.000  0.030  0.736 (multiplicity 8)
S  0.245  0.250  0.526 (multiplicity 8)

---

No. 14
Compound: LaMgMnS2
Source: Alexandria via LeMat-Bulk
Functional: GGA-PBE
Structure: optimized geometry

Summary:
As for the total magnetic moment: 4.014 μB/f.u. For the uncorrected formation energy, the calculation gives -8.41 kcal/mol of atoms.

Cell lengths 4.859, 4.859, 4.760 Å; angles 90.00, 90.00, 90.00 degrees
Space group P4/mmm (No. 123)
Unique sites:
La  0.000  0.000  0.000 (multiplicity 1)
Mg  0.500  0.500  0.500 (multiplicity 1)
Mn  0.500  0.500  0.000 (multiplicity 1)
S  0.000  0.500  0.500 (multiplicity 2)

---

No. 15
Compound: LaMgSc2Mn
Source: Alexandria via LeMat-Bulk
Functional: GGA-PBE
Structure: optimized geometry

Summary:
As for the total magnetic moment: 0.530 μB/f.u. The formation energy comes out at 11.5 kJ per mole of atoms.

Cell lengths 4.835, 4.835, 5.251 Å; angles 90.00, 90.00, 90.00 degrees
Space group P4/mmm (No. 123)
Unique sites:
La  0.000  0.000  0.000 (multiplicity 1)
Mg  0.500  0.500  0.000 (multiplicity 1)
Sc  0.000  0.500  0.500 (multiplicity 2)
Mn  0.500  0.500  0.500 (multiplicity 1)

---

No. 16
Compound: LaSmMgMn
Source: Alexandria via LeMat-Bulk
Functional: GGA-PBE
Structure: optimized geometry

Summary:
As for the total magnetic moment: 3.262 μB/f.u. The formation energy comes out at 11.7 kJ per mole of atoms.

Cell lengths 7.594, 7.594, 7.594 Å; angles 90.00, 90.00, 90.00 degrees
Space group F-43m (No. 216)
Unique sites:
La  0.000  0.000  0.000 (multiplicity 4)
Sm  0.000  0.000  0.500 (multiplicity 4)
Mg  0.250  0.250  0.250 (multiplicity 4)
Mn  0.250  0.250  0.750 (multiplicity 4)

---

No. 17
Compound: LaMg2MnSn
Source: Alexandria via LeMat-Bulk
Functional: GGA-PBE
Structure: optimized geometry

Summary:
As for the total magnetic moment: 0.147 μB/f.u. The formation energy comes out at 72.1 kJ per mole of atoms.

Cell lengths 5.599, 5.599, 5.198 Å; angles 90.00, 90.00, 90.00 degrees
Space group P4/mmm (No. 123)
Unique sites:
La  0.000  0.000  0.000 (multiplicity 1)
Mg  0.000  0.500  0.500 (multiplicity 2)
Mn  0.500  0.500  0.000 (multiplicity 1)
Sn  0.500  0.500  0.500 (multiplicity 1)

---

No. 18
Compound: LaMgMn2Sn
Source: Alexandria via LeMat-Bulk
Functional: GGA-PBE
Structure: optimized geometry

Summary:
As for the total magnetic moment: 6.242 μB/f.u. The formation energy comes out at 52.7 kJ per mole of atoms.

Cell lengths 5.106, 5.106, 5.191 Å; angles 90.00, 90.00, 90.00 degrees
Space group P4/mmm (No. 123)
Unique sites:
La  0.000  0.000  0.000 (multiplicity 1)
Mg  0.500  0.500  0.000 (multiplicity 1)
Mn  0.000  0.500  0.500 (multiplicity 2)
Sn  0.500  0.500  0.500 (multiplicity 1)

---

No. 19
Compound: La2Mg2Mo
Source: Alexandria via LeMat-Bulk
Functional: GGA-PBE
Structure: optimized geometry

Summary:
As for the total magnetic moment: 0.001 μB/f.u. The formation energy comes out at 67.0 kJ per mole of atoms. For the offset from the most stable computed form, the calculation gives 0.0 meV/atom.

Cell lengths 8.922, 8.922, 3.323 Å; angles 90.00, 90.00, 90.00 degrees
Space group P4/mbm (No. 127)
Unique sites:
La  0.185  0.315  0.000 (multiplicity 4)
Mg  0.115  0.615  0.500 (multiplicity 4)
Mo  0.000  0.000  0.500 (multiplicity 2)

---

No. 20
Compound: La2MgMo
Source: Alexandria via LeMat-Bulk
Functional: GGA-PBE
Structure: optimized geometry

Summary:
As for the total magnetic moment: 0.000 μB/f.u. The formation energy comes out at 46.4 kJ per mole of atoms.

Cell lengths 8.278, 3.214, 8.760 Å; angles 90.00, 95.14, 90.00 degrees
Space group C2/m (No. 12)
Unique sites:
La  0.246  0.000  0.205 (multiplicity 4)
Mg  0.000  0.000  0.500 (multiplicity 2)
Mo  0.000  0.500  0.000 (multiplicity 2)

---

No. 21
Compound: La2MgMo
Source: Alexandria via LeMat-Bulk
Functional: GGA-PBE
Structure: optimized geometry

Summary:
As for the total magnetic moment: 0.015 μB/f.u. The formation energy comes out at 37.9 kJ per mole of atoms.

Cell lengths 4.664, 4.664, 9.289 Å; angles 90.00, 90.00, 90.00 degrees
Space group I-4m2 (No. 119)
Unique sites:
La  0.000  0.000  0.000 (multiplicity 2)
La  0.000  0.500  0.250 (multiplicity 2)
Mg  0.000  0.500  0.750 (multiplicity 2)
Mo  0.000  0.000  0.500 (multiplicity 2)

---

No. 22
Compound: La2MgMo
Source: Alexandria via LeMat-Bulk
Functional: GGA-PBE
Structure: optimized geometry

Summary:
As for the total magnetic moment: 0.000 μB/f.u. The formation energy comes out at 40.4 kJ per mole of atoms.

Cell lengths 3.546, 5.423, 10.859 Å; angles 90.00, 90.00, 90.00 degrees
Space group Cmm2 (No. 35)
Unique sites:
La  0.000  0.000  0.000 (multiplicity 2)
La  0.000  0.500  0.326 (multiplicity 2)
Mg  0.000  0.000  0.603 (multiplicity 2)
Mo  0.000  0.500  0.807 (multiplicity 2)

---

No. 23
Compound: LaMgMo
Source: Alexandria via LeMat-Bulk
Functional: GGA-PBE
Structure: optimized geometry

Summary:
As for the total magnetic moment: 0.001 μB/f.u. The formation energy comes out at 50.3 kJ per mole of atoms. For the offset from the most stable computed form, the calculation gives 60.7 meV/atom.

Cell lengths 5.1753, 5.1753, 2.9477 Å; angles 90.00, 90.00, 120.00 degrees
Space group P3m1 (No. 156)
Unique sites:
La  0.0000  0.0000  0.0000 (multiplicity 1)
Mg  0.3333  0.6667  0.4503 (multiplicity 1)
Mo  0.6667  0.3333  0.5485 (multiplicity 1)

---

No. 24
Compound: LaMgMo
Source: Alexandria via LeMat-Bulk
Functional: GGA-PBE
Structure: optimized geometry

Summary:
As for the total magnetic moment: 1.079 μB/f.u. The formation energy comes out at 78.7 kJ per mole of atoms. For the offset from the most stable computed form, the calculation gives 354.9 meV/atom.

Cell lengths 6.766, 6.766, 6.766 Å; angles 90.00, 90.00, 90.00 degrees
Space group F-43m (No. 216)
Unique sites:
La  0.000  0.000  0.000 (multiplicity 4)
Mg  0.000  0.000  0.500 (multiplicity 4)
Mo  0.250  0.250  0.250 (multiplicity 4)

---

No. 25
Compound: LaMgMo
Source: Alexandria via LeMat-Bulk
Functional: GGA-PBE
Structure: optimized geometry

Summary:
As for the total magnetic moment: 2.998 μB/f.u. The formation energy comes out at 126.4 kJ per mole of atoms. For the offset from the most stable computed form, the calculation gives 849.1 meV/atom.

Cell lengths 7.103, 7.103, 7.103 Å; angles 90.00, 90.00, 90.00 degrees
Space group F-43m (No. 216)
Unique sites:
La  0.000  0.000  0.000 (multiplicity 4)
Mg  0.250  0.250  0.250 (multiplicity 4)
Mo  0.250  0.250  0.750 (multiplicity 4)

---

No. 26
Compound: LaMgMo
Source: Alexandria via LeMat-Bulk
Functional: GGA-PBE
Structure: optimized geometry

Summary:
As for the total magnetic moment: 0.000 μB/f.u. The formation energy comes out at 47.7 kJ per mole of atoms. For the offset from the most stable computed form, the calculation gives 34.2 meV/atom.

Cell lengths 3.191, 3.972, 11.164 Å; angles 90.00, 90.00, 90.00 degrees
Space group Imm2 (No. 44)
Unique sites:
La  0.000  0.000  0.000 (multiplicity 2)
Mg  0.000  0.000  0.710 (multiplicity 2)
Mo  0.000  0.000  0.329 (multiplicity 2)

---

No. 27
Compound: La3MgMo
Source: Alexandria via LeMat-Bulk
Functional: GGA-PBE
Structure: optimized geometry

Summary:
As for the total magnetic moment: 0.000 μB/f.u. The formation energy comes out at 21.7 kJ per mole of atoms. For the offset from the most stable computed form, the calculation gives 0.0 meV/atom.

Cell lengths 5.554, 5.554, 5.554 Å; angles 90.00, 90.00, 90.00 degrees
Space group Pm-3m (No. 221)
Unique sites:
La  0.000  0.000  0.500 (multiplicity 3)
Mg  0.500  0.500  0.500 (multiplicity 1)
Mo  0.000  0.000  0.000 (multiplicity 1)